Entry 1:
Sm3HoEr2 | PBE | relaxed

Cell lengths 7.1956, 7.1980, 8.8698 Å; angles 78.24, 78.21, 60.05 degrees
Space group P-1 (No. 2)
Unique sites:
1 Sm 0.1394 0.1388 0.1648 x2
2 Sm 0.1394 0.6390 0.1664 x2
3 Sm 0.2514 0.7494 0.5023 x2
4 Ho 0.2512 0.2489 0.5017 x2
5 Er 0.3629 0.3605 0.8337 x2
6 Er 0.3638 0.8608 0.8322 x2

Properties
formation energy	0.003	eV per atom
magnetic moment	0.000	μB per atom
energy above the lowest structure with this stoichiometry	0.000	eV per atom
density of states at the Fermi level	15.0	states/eV per cell


Entry 2:
Sm8HoEr3 | PBE | relaxed

Cell lengths 6.9833, 11.9146, 9.7686 Å; angles 90.00, 104.21, 90.00 degrees
Space group C2/m (No. 12)
Unique sites:
1 Sm 0.0700 0.2490 0.3334 x8
2 Sm 0.1794 0.5000 0.1674 x4
3 Sm 0.1796 0.0000 0.1654 x4
4 Ho 0.0000 0.5000 0.5000 x2
5 Er 0.0000 0.0000 0.5000 x2
6 Er 0.2500 0.2500 0.0000 x4

Properties
formation energy	0.121	eV per atom
magnetic moment	0.000	μB per atom
density of states at the Fermi level	48.8	states/eV per cell


Entry 3:
Sm3HoEr4 | PBE | relaxed

Cell lengths 11.3058, 7.2645, 6.2715 Å; angles 90.00, 90.00, 90.00 degrees
Space group Pmn2_1 (No. 31)
Unique sites:
1 Sm 0.0000 0.1275 0.0000 x2
2 Sm 0.2503 0.1266 0.3335 x4
3 Ho 0.0000 0.8717 0.4986 x2
4 Er 0.0000 0.3771 0.5006 x2
5 Er 0.0000 0.6218 0.9999 x2
6 Er 0.2485 0.6223 0.3328 x4

Properties
formation energy	0.015	eV per atom
magnetic moment	0.000	μB per atom
energy above the lowest structure with this stoichiometry	0.000	eV per atom
density of states at the Fermi level	27.7	states/eV per cell


Entry 4:
Sm2Ho6Er | PBE | relaxed

Cell lengths 12.7480, 14.2097, 6.5378 Å; angles 90.00, 104.21, 90.00 degrees
Space group C2/c (No. 15)
Unique sites:
1 Sm 0.1431 0.0246 0.3720 x8
2 Ho 0.0363 0.1872 0.0043 x8
3 Ho 0.1323 0.4101 0.8148 x8
4 Ho 0.2395 0.2009 0.7283 x8
5 Er 0.0000 0.3820 0.2500 x4

Properties
formation energy	0.112	eV per atom
magnetic moment	0.000	μB per atom
energy above the lowest structure with this stoichiometry	0.092	eV per atom
density of states at the Fermi level	45.3	states/eV per cell


Entry 5:
SmHo4Er3 | PBE | relaxed

Cell lengths 3.5325, 7.0479, 9.9739 Å; angles 90.00, 90.00, 90.00 degrees
Space group Pmmm (No. 47)
Unique sites:
1 Sm 0.0000 0.0000 0.0000 x1
2 Ho 0.5000 0.2513 0.2516 x4
3 Er 0.0000 0.0000 0.5000 x1
4 Er 0.0000 0.5000 0.0000 x1
5 Er 0.0000 0.5000 0.5000 x1

Properties
formation energy	0.022	eV per atom
magnetic moment	0.000	μB per atom
energy above the lowest structure with this stoichiometry	0.018	eV per atom
density of states at the Fermi level	11.4	states/eV per cell


Entry 6:
Sm7HoEr2 | PBE | relaxed

Cell lengths 8.7684, 16.6078, 5.5437 Å; angles 90.00, 90.00, 90.00 degrees
Space group Cmmm (No. 65)
Unique sites:
1 Sm 0.0000 0.0000 0.0000 x2
2 Sm 0.0000 0.2893 0.5000 x4
3 Sm 0.1783 0.3879 0.0000 x8
4 Ho 0.0000 0.5000 0.5000 x2
5 Er 0.0000 0.2048 0.0000 x4

Properties
formation energy	0.662	eV per atom
magnetic moment	0.000	μB per atom
energy above the lowest structure with this stoichiometry	0.610	eV per atom
density of states at the Fermi level	29.0	states/eV per cell


Entry 7:
Sm4HoEr8 | PBE | relaxed

Cell lengths 7.7334, 7.7334, 7.7334 Å; angles 90.00, 90.00, 90.00 degrees
Space group Pm-3m (No. 221)
Unique sites:
1 Sm 0.0000 0.0000 0.0000 x1
2 Sm 0.0000 0.5000 0.5000 x3
3 Ho 0.5000 0.5000 0.5000 x1
4 Er 0.2405 0.2405 0.2405 x8

Properties
formation energy	0.516	eV per atom
magnetic moment	0.068	μB per atom
density of states at the Fermi level	20.0	states/eV per cell


Entry 8:
SmHoEr14 | PBE | relaxed

Cell lengths 11.3471, 7.0663, 12.2300 Å; angles 90.00, 90.00, 90.00 degrees
Space group Amm2 (No. 38)
Unique sites:
1 Sm 0.0000 0.0000 0.0000 x2
2 Ho 0.0000 0.0000 0.5000 x2
3 Er 0.0000 0.2499 0.2501 x4
4 Er 0.2502 0.0000 0.6671 x4
5 Er 0.2514 0.0000 0.1673 x4
6 Er 0.2517 0.2497 0.4169 x8
7 Er 0.5000 0.0000 0.3341 x2
8 Er 0.5000 0.0000 0.8339 x2
9 Er 0.5000 0.2502 0.0842 x4

Properties
formation energy	0.007	eV per atom
magnetic moment	0.000	μB per atom
density of states at the Fermi level	42.5	states/eV per cell


Entry 9:
Sm5Ho4Er | PBE | relaxed

Cell lengths 17.0500, 3.5442, 11.3874 Å; angles 90.00, 108.98, 90.00 degrees
Space group C2/m (No. 12)
Unique sites:
1 Sm 0.0000 0.0000 0.0000 x2
2 Sm 0.1891 0.5000 0.0777 x4
3 Sm 0.2101 0.5000 0.6151 x4
4 Ho 0.0822 0.5000 0.2939 x4
5 Ho 0.1049 0.0000 0.7953 x4
6 Er 0.0000 0.0000 0.5000 x2

Properties
formation energy	0.040	eV per atom
magnetic moment	0.000	μB per atom
energy above the lowest structure with this stoichiometry	0.000	eV per atom
density of states at the Fermi level	29.0	states/eV per cell


Entry 10:
Sm3Ho5Er3 | PBE | relaxed

Cell lengths 9.6380, 9.6380, 5.3947 Å; angles 90.00, 90.00, 120.00 degrees
Space group P-62m (No. 189)
Unique sites:
1 Sm 0.0000 0.6323 0.0000 x3
2 Ho 0.0000 0.2629 0.0000 x3
3 Ho 0.3333 0.6667 0.0000 x2
4 Er 0.0000 0.4478 0.5000 x3

Properties
formation energy	0.827	eV per atom
magnetic moment	0.000	μB per atom
density of states at the Fermi level	16.5	states/eV per cell


Entry 11:
Sm3Ho2Er8 | PBE | relaxed

Cell lengths 19.9913, 7.6424, 5.5838 Å; angles 90.00, 90.04, 90.00 degrees
Space group C2/m (No. 12)
Unique sites:
1 Sm 0.0000 0.0000 0.0000 x2
2 Sm 0.0000 0.2904 0.5000 x4
3 Ho 0.2411 0.0000 0.9991 x4
4 Er 0.1095 0.2902 0.0003 x8
5 Er 0.1344 0.0000 0.4997 x4
6 Er 0.1704 0.5000 0.5008 x4

Properties
formation energy	0.251	eV per atom
magnetic moment	0.000	μB per atom
energy above the lowest structure with this stoichiometry	0.228	eV per atom
density of states at the Fermi level	44.7	states/eV per cell


Entry 12:
Sm2HoEr | PBE | relaxed

Cell lengths 7.2599, 11.4464, 3.6297 Å; angles 90.00, 119.92, 90.00 degrees
Space group Cm (No. 8)
Unique sites:
1 Sm 0.0000 0.2496 0.0000 x4
2 Ho 0.3333 0.0000 0.3362 x2
3 Er 0.3329 0.5000 0.3357 x2

Properties
formation energy	0.011	eV per atom
magnetic moment	0.001	μB per atom
energy above the lowest structure with this stoichiometry	0.000	eV per atom
density of states at the Fermi level	14.6	states/eV per cell